No. 1
Below is crystalline CsLiBiAu at its relaxed geometry, with properties calculated at the GGA-PBE level.

Values from the calculation:
polymorph energy (0 for the lowest one) = 0 meV per atom
DFT total energy = -2.58 eV/atom

Lattice parameters (Å, degrees): 7.759 7.759 7.759 90.00 90.00 90.00
Sites, in units of the cell vectors:
Cs1 0.000 0.000 0.000
Cs2 0.000 0.500 0.500
Cs3 0.500 0.000 0.500
Cs4 0.500 0.500 0.000
Li1 0.250 0.250 0.750
Li2 0.250 0.750 0.250
Li3 0.750 0.250 0.250
Li4 0.750 0.750 0.750
Bi1 0.000 0.000 0.500
Bi2 0.000 0.500 0.000
Bi3 0.500 0.000 0.000
Bi4 0.500 0.500 0.500
Au1 0.250 0.250 0.250
Au2 0.250 0.750 0.750
Au3 0.750 0.250 0.750
Au4 0.750 0.750 0.250



No. 2
Below is crystalline Nb2AlInPd2 at its relaxed geometry, with properties calculated at the GGA-PBE level.

Values from the calculation:
DFT total energy = -6.38 eV/atom
spin magnetization = 0.00 μB/f.u.

Lattice parameters (Å, degrees): 10.641 4.339 10.659 90.00 109.49 90.00
Sites, in units of the cell vectors:
Nb1 0.000 0.000 0.000
Nb2 0.120 0.500 0.374
Nb3 0.244 0.000 0.746
Nb4 0.376 0.500 0.131
Nb5 0.499 0.000 0.500
Nb6 0.624 0.500 0.870
Nb7 0.748 0.000 0.254
Nb8 0.870 0.500 0.622
Al1 0.249 0.000 0.251
Al2 0.623 0.500 0.376
Al3 0.748 0.000 0.747
Al4 0.995 0.000 0.498
In1 0.121 0.500 0.875
In2 0.372 0.500 0.622
In3 0.500 0.000 0.003
In4 0.873 0.500 0.126
Pd1 0.131 0.500 0.133
Pd2 0.238 0.000 0.492
Pd3 0.372 0.500 0.874
Pd4 0.500 0.000 0.259
Pd5 0.628 0.500 0.623
Pd6 0.749 0.000 0.990
Pd7 0.871 0.500 0.380
Pd8 0.990 0.000 0.742



No. 3
Below is crystalline SrCdAs2Pb at its relaxed geometry, with properties calculated at the GGA-PBE level.

Values from the calculation:
DFT total energy = -3.63 eV/atom

Lattice parameters (Å, degrees): 8.772 8.772 7.381 90.00 90.00 149.99
Sites, in units of the cell vectors:
Sr1 0.193 0.807 0.500
Sr2 0.807 0.193 0.000
Cd1 0.399 0.601 0.334
Cd2 0.601 0.399 0.834
As1 0.180 0.820 0.941
As2 0.440 0.560 0.964
As3 0.560 0.440 0.464
As4 0.820 0.180 0.441
Pb1 0.033 0.967 0.158
Pb2 0.967 0.033 0.658



No. 4
Below is crystalline ErBrO4 at its relaxed geometry, with properties calculated at the GGA-PBE level.

Values from the calculation:
DFT total energy = -5.62 eV/atom
spin magnetization = 0.00 μB/f.u.

Lattice parameters (Å, degrees): 6.371 6.371 4.996 109.29 109.29 115.45
Sites, in units of the cell vectors:
Er1 0.122 0.878 0.750
Er2 0.878 0.122 0.250
Br1 0.407 0.593 0.250
Br2 0.593 0.407 0.750
O1 0.160 0.558 0.347
O2 0.174 0.270 0.770
O3 0.270 0.174 0.270
O4 0.442 0.840 0.153
O5 0.558 0.160 0.847
O6 0.730 0.826 0.730
O7 0.826 0.730 0.230
O8 0.840 0.442 0.653



No. 5
Below is crystalline Be2Tc2O5 at its relaxed geometry, with properties calculated at the GGA-PBE level.

Values from the calculation:
polymorph energy (0 for the lowest one) = 0 meV per atom
DFT total energy = -7.10 eV/atom
spin magnetization = 5.54 μB/f.u.

Lattice parameters (Å, degrees): 3.424 3.424 6.714 90.00 90.00 90.00
Sites, in units of the cell vectors:
Be1 0.000 0.000 0.247
Be2 0.000 0.000 0.753
Tc1 0.500 0.500 0.000
Tc2 0.500 0.500 0.500
O1 0.000 0.000 0.000
O2 0.000 0.500 0.315
O3 0.000 0.500 0.685
O4 0.500 0.000 0.315
O5 0.500 0.000 0.685



No. 6
Below is crystalline ThAlPd2 at its relaxed geometry, with properties calculated at the GGA-PBE level.

Values from the calculation:
DFT total energy = -6.26 eV/atom
spin magnetization = 0.00 μB/f.u.

Lattice parameters (Å, degrees): 7.642 6.958 5.943 90.00 90.00 90.00
Sites, in units of the cell vectors:
Th1 0.042 0.250 0.164
Th2 0.458 0.750 0.664
Th3 0.542 0.250 0.336
Th4 0.958 0.750 0.836
Al1 0.115 0.750 0.335
Al2 0.385 0.250 0.835
Al3 0.615 0.750 0.165
Al4 0.885 0.250 0.665
Pd1 0.179 0.049 0.586
Pd2 0.179 0.451 0.586
Pd3 0.321 0.549 0.086
Pd4 0.321 0.951 0.086
Pd5 0.679 0.049 0.914
Pd6 0.679 0.451 0.914
Pd7 0.821 0.549 0.414
Pd8 0.821 0.951 0.414



No. 7
Below is crystalline BaNdY at its relaxed geometry, with properties calculated at the GGA-PBE level.

Values from the calculation:
DFT total energy = -3.58 eV/atom
spin magnetization = 0.02 μB/f.u.

Lattice parameters (Å, degrees): 8.330 8.330 8.330 90.00 90.00 90.00
Sites, in units of the cell vectors:
Ba1 0.000 0.000 0.000
Ba2 0.000 0.500 0.500
Ba3 0.500 0.000 0.500
Ba4 0.500 0.500 0.000
Nd1 0.000 0.000 0.500
Nd2 0.000 0.500 0.000
Nd3 0.500 0.000 0.000
Nd4 0.500 0.500 0.500
Y1 0.250 0.250 0.250
Y2 0.250 0.750 0.750
Y3 0.750 0.250 0.750
Y4 0.750 0.750 0.250



No. 8
Below is crystalline Be2Ni3Au at its relaxed geometry, with properties calculated at the GGA-PBE level.

Values from the calculation:
DFT total energy = -4.79 eV/atom
spin magnetization = 0.00 μB/f.u.

Lattice parameters (Å, degrees): 2.685 2.685 8.996 90.00 90.00 90.00
Sites, in units of the cell vectors:
Be1 0.000 0.000 0.000
Be2 0.500 0.500 0.448
Ni1 0.000 0.000 0.317
Ni2 0.500 0.500 0.139
Ni3 0.500 0.500 0.859
Au1 0.000 0.000 0.636



No. 9
Below is crystalline Y2BePt at its relaxed geometry, with properties calculated at the GGA-PBE level.

Values from the calculation:
DFT total energy = -6.00 eV/atom
spin magnetization = 0.00 μB/f.u.

Lattice parameters (Å, degrees): 6.718 6.718 6.718 90.00 90.00 90.00
Sites, in units of the cell vectors:
Y1 0.000 0.000 0.000
Y2 0.000 0.500 0.500
Y3 0.250 0.250 0.250
Y4 0.250 0.750 0.750
Y5 0.500 0.000 0.500
Y6 0.500 0.500 0.000
Y7 0.750 0.250 0.750
Y8 0.750 0.750 0.250
Be1 0.000 0.000 0.500
Be2 0.000 0.500 0.000
Be3 0.500 0.000 0.000
Be4 0.500 0.500 0.500
Pt1 0.250 0.250 0.750
Pt2 0.250 0.750 0.250
Pt3 0.750 0.250 0.250
Pt4 0.750 0.750 0.750



No. 10
Below is crystalline CoGe3Pd at its relaxed geometry, with properties calculated at the GGA-PBE level.

Values from the calculation:
DFT total energy = -4.94 eV/atom
spin magnetization = 1.14 μB/f.u.

Lattice parameters (Å, degrees): 4.120 4.120 11.423 90.00 90.00 90.00
Sites, in units of the cell vectors:
Co1 0.000 0.000 0.000
Co2 0.500 0.500 0.500
Ge1 0.000 0.000 0.548
Ge2 0.000 0.500 0.388
Ge3 0.000 0.500 0.888
Ge4 0.500 0.000 0.388
Ge5 0.500 0.000 0.888
Ge6 0.500 0.500 0.048
Pd1 0.000 0.000 0.760
Pd2 0.500 0.500 0.260



No. 11
Below is crystalline AlB3W4 at its relaxed geometry, with properties calculated at the GGA-PBE level.

Values from the calculation:
DFT total energy = -9.64 eV/atom
spin magnetization = 0.00 μB/f.u.

Lattice parameters (Å, degrees): 3.118 3.118 23.849 90.00 90.00 120.00
Sites, in units of the cell vectors:
Al1 0.333 0.667 0.250
Al2 0.667 0.333 0.750
B1 0.000 0.000 0.000
B2 0.000 0.000 0.500
B3 0.333 0.667 0.611
B4 0.333 0.667 0.889
B5 0.667 0.333 0.111
B6 0.667 0.333 0.389
W1 0.000 0.000 0.160
W2 0.000 0.000 0.340
W3 0.000 0.000 0.660
W4 0.000 0.000 0.840
W5 0.333 0.667 0.057
W6 0.333 0.667 0.443
W7 0.667 0.333 0.557
W8 0.667 0.333 0.943



No. 12
Below is crystalline RbLuNO at its relaxed geometry, with properties calculated at the GGA-PBE level.

Values from the calculation:
polymorph energy (0 for the lowest one) = 0 meV per atom
DFT total energy = -6.00 eV/atom
spin magnetization = 1.00 μB/f.u.

Lattice parameters (Å, degrees): 3.591 7.316 6.693 90.00 90.00 90.00
Sites, in units of the cell vectors:
Rb1 0.000 0.195 0.000
Rb2 0.000 0.805 0.500
Lu1 0.500 0.322 0.488
Lu2 0.500 0.678 0.988
N1 0.500 0.445 0.784
N2 0.500 0.555 0.284
O1 0.000 0.180 0.444
O2 0.000 0.820 0.944



No. 13
Below is crystalline LiAlCdNi at its relaxed geometry, with properties calculated at the GGA-PBE level.

Values from the calculation:
DFT total energy = -3.28 eV/atom
spin magnetization = 0.00 μB/f.u.

Lattice parameters (Å, degrees): 6.122 6.122 6.122 90.00 90.00 90.00
Sites, in units of the cell vectors:
Li1 0.000 0.000 0.000
Li2 0.000 0.500 0.500
Li3 0.500 0.000 0.500
Li4 0.500 0.500 0.000
Al1 0.250 0.250 0.250
Al2 0.250 0.750 0.750
Al3 0.750 0.250 0.750
Al4 0.750 0.750 0.250
Cd1 0.250 0.250 0.750
Cd2 0.250 0.750 0.250
Cd3 0.750 0.250 0.250
Cd4 0.750 0.750 0.750
Ni1 0.000 0.000 0.500
Ni2 0.000 0.500 0.000
Ni3 0.500 0.000 0.000
Ni4 0.500 0.500 0.500



No. 14
Below is crystalline HfTcHg2 at its relaxed geometry, with properties calculated at the GGA-PBE level.

Values from the calculation:
polymorph energy (0 for the lowest one) = 0 meV per atom
DFT total energy = -4.86 eV/atom
spin magnetization = 0.03 μB/f.u.

Lattice parameters (Å, degrees): 6.740 6.740 6.740 90.00 90.00 90.00
Sites, in units of the cell vectors:
Hf1 0.000 0.000 0.000
Hf2 0.000 0.500 0.500
Hf3 0.500 0.000 0.500
Hf4 0.500 0.500 0.000
Tc1 0.250 0.250 0.750
Tc2 0.250 0.750 0.250
Tc3 0.750 0.250 0.250
Tc4 0.750 0.750 0.750
Hg1 0.000 0.000 0.500
Hg2 0.000 0.500 0.000
Hg3 0.250 0.250 0.250
Hg4 0.250 0.750 0.750
Hg5 0.500 0.000 0.000
Hg6 0.500 0.500 0.500
Hg7 0.750 0.250 0.750
Hg8 0.750 0.750 0.250



No. 15
Below is crystalline ScAg2B at its relaxed geometry, with properties calculated at the GGA-PBE level.

Values from the calculation:
DFT total energy = -4.35 eV/atom
spin magnetization = 0.00 μB/f.u.

Lattice parameters (Å, degrees): 6.320 6.320 6.320 90.00 90.00 90.00
Sites, in units of the cell vectors:
Sc1 0.000 0.000 0.000
Sc2 0.000 0.500 0.500
Sc3 0.500 0.000 0.500
Sc4 0.500 0.500 0.000
Ag1 0.000 0.000 0.500
Ag2 0.000 0.500 0.000
Ag3 0.250 0.250 0.250
Ag4 0.250 0.750 0.750
Ag5 0.500 0.000 0.000
Ag6 0.500 0.500 0.500
Ag7 0.750 0.250 0.750
Ag8 0.750 0.750 0.250
B1 0.250 0.250 0.750
B2 0.250 0.750 0.250
B3 0.750 0.250 0.250
B4 0.750 0.750 0.750



No. 16
Below is crystalline HfCdAg2 at its relaxed geometry, with properties calculated at the GGA-PBE level.

Values from the calculation:
DFT total energy = -4.07 eV/atom
spin magnetization = 0.00 μB/f.u.

Lattice parameters (Å, degrees): 6.722 6.722 6.722 90.00 90.00 90.00
Sites, in units of the cell vectors:
Hf1 0.000 0.000 0.000
Hf2 0.000 0.500 0.500
Hf3 0.500 0.000 0.500
Hf4 0.500 0.500 0.000
Cd1 0.250 0.250 0.750
Cd2 0.250 0.750 0.250
Cd3 0.750 0.250 0.250
Cd4 0.750 0.750 0.750
Ag1 0.000 0.000 0.500
Ag2 0.000 0.500 0.000
Ag3 0.250 0.250 0.250
Ag4 0.250 0.750 0.750
Ag5 0.500 0.000 0.000
Ag6 0.500 0.500 0.500
Ag7 0.750 0.250 0.750
Ag8 0.750 0.750 0.250



No. 17
Below is crystalline RbTmHgTe3 at its relaxed geometry, with properties calculated at the GGA-PBE level.

Values from the calculation:
DFT total energy = -3.46 eV/atom
spin magnetization = 0.01 μB/f.u.

Lattice parameters (Å, degrees): 9.249 4.475 11.287 90.00 109.78 90.00
Sites, in units of the cell vectors:
Rb1 0.246 0.250 0.284
Rb2 0.754 0.750 0.716
Tm1 0.323 0.750 0.864
Tm2 0.677 0.250 0.136
Hg1 0.079 0.250 0.616
Hg2 0.921 0.750 0.384
Te1 0.091 0.250 0.867
Te2 0.251 0.750 0.564
Te3 0.455 0.750 0.145
Te4 0.545 0.250 0.855
Te5 0.749 0.250 0.436
Te6 0.909 0.750 0.133



No. 18
Below is crystalline NdTmAg2Pb2 at its relaxed geometry, with properties calculated at the GGA-PBE level.

Values from the calculation:
DFT total energy = -4.13 eV/atom
spin magnetization = 0.00 μB/f.u.

Lattice parameters (Å, degrees): 4.825 4.825 7.510 90.00 90.00 120.00
Sites, in units of the cell vectors:
Nd1 0.000 0.000 0.000
Tm1 0.000 0.000 0.502
Ag1 0.333 0.667 0.201
Ag2 0.667 0.333 0.681
Pb1 0.333 0.667 0.776
Pb2 0.667 0.333 0.285



No. 19
Below is crystalline K2CuAgTe2 at its relaxed geometry, with properties calculated at the GGA-PBE level.

Values from the calculation:
DFT total energy = -3.11 eV/atom

Lattice parameters (Å, degrees): 4.673 4.673 9.952 90.00 90.00 120.00
Sites, in units of the cell vectors:
K1 0.000 0.000 0.250
K2 0.000 0.000 0.750
Cu1 0.667 0.333 0.000
Ag1 0.333 0.667 0.500
Te1 0.333 0.667 0.000
Te2 0.667 0.333 0.500



No. 20
Below is crystalline DyTcAsO at its relaxed geometry, with properties calculated at the GGA-PBE level.

Values from the calculation:
polymorph energy (0 for the lowest one) = 1616 meV per atom
DFT total energy = -6.31 eV/atom
spin magnetization = 1.12 μB/f.u.

Lattice parameters (Å, degrees): 4.223 4.223 9.221 90.00 90.00 90.00
Sites, in units of the cell vectors:
Dy1 0.250 0.750 0.000
Dy2 0.750 0.250 0.000
Tc1 0.250 0.250 0.471
Tc2 0.750 0.750 0.529
As1 0.250 0.250 0.213
As2 0.750 0.750 0.787
O1 0.250 0.750 0.500
O2 0.750 0.250 0.500



No. 21
Below is crystalline CsTbCdO3 at its relaxed geometry, with properties calculated at the GGA-PBE level.

Values from the calculation:
DFT total energy = -5.57 eV/atom
spin magnetization = 0.00 μB/f.u.

Lattice parameters (Å, degrees): 7.312 7.312 9.293 90.00 90.00 151.18
Sites, in units of the cell vectors:
Cs1 0.197 0.803 0.750
Cs2 0.803 0.197 0.250
Tb1 0.500 0.500 0.000
Tb2 0.500 0.500 0.500
Cd1 0.082 0.918 0.250
Cd2 0.918 0.082 0.750
O1 0.103 0.897 0.026
O2 0.103 0.897 0.474
O3 0.478 0.522 0.250
O4 0.522 0.478 0.750
O5 0.897 0.103 0.526
O6 0.897 0.103 0.974



No. 22
Below is crystalline SrSbMo at its relaxed geometry, with properties calculated at the GGA-PBE level.

Values from the calculation:
polymorph energy (0 for the lowest one) = 0 meV per atom
DFT total energy = -5.01 eV/atom
spin magnetization = 4.34 μB/f.u.

Lattice parameters (Å, degrees): 7.245 7.245 7.245 90.00 90.00 90.00
Sites, in units of the cell vectors:
Sr1 0.000 0.000 0.000
Sr2 0.000 0.500 0.500
Sr3 0.500 0.000 0.500
Sr4 0.500 0.500 0.000
Sb1 0.250 0.250 0.750
Sb2 0.250 0.750 0.250
Sb3 0.750 0.250 0.250
Sb4 0.750 0.750 0.750
Mo1 0.000 0.000 0.500
Mo2 0.000 0.500 0.000
Mo3 0.500 0.000 0.000
Mo4 0.500 0.500 0.500



No. 23
Below is crystalline LuTeO3F at its relaxed geometry, with properties calculated at the GGA-PBE level.

Values from the calculation:
DFT total energy = -6.57 eV/atom
spin magnetization = 0.00 μB/f.u.

Lattice parameters (Å, degrees): 4.196 6.450 6.752 93.07 95.82 97.65
Sites, in units of the cell vectors:
Lu1 0.052 0.119 0.259
Lu2 0.948 0.881 0.741
Te1 0.214 0.388 0.787
Te2 0.786 0.612 0.213
O1 0.021 0.813 0.064
O2 0.132 0.470 0.294
O3 0.167 0.169 0.584
O4 0.833 0.831 0.416
O5 0.868 0.530 0.706
O6 0.979 0.187 0.936
F1 0.445 0.839 0.765
F2 0.555 0.161 0.235



No. 24
Below is crystalline Ta2SiTc at its relaxed geometry, with properties calculated at the GGA-PBE level.

Values from the calculation:
DFT total energy = -9.98 eV/atom
spin magnetization = 0.02 μB/f.u.

Lattice parameters (Å, degrees): 6.322 6.322 6.322 90.00 90.00 90.00
Sites, in units of the cell vectors:
Ta1 0.000 0.000 0.000
Ta2 0.000 0.500 0.500
Ta3 0.250 0.250 0.250
Ta4 0.250 0.750 0.750
Ta5 0.500 0.000 0.500
Ta6 0.500 0.500 0.000
Ta7 0.750 0.250 0.750
Ta8 0.750 0.750 0.250
Si1 0.000 0.000 0.500
Si2 0.000 0.500 0.000
Si3 0.500 0.000 0.000
Si4 0.500 0.500 0.500
Tc1 0.250 0.250 0.750
Tc2 0.250 0.750 0.250
Tc3 0.750 0.250 0.250
Tc4 0.750 0.750 0.750



No. 25
Below is crystalline NbTcIr2 at its relaxed geometry, with properties calculated at the GGA-PBE level.

Values from the calculation:
DFT total energy = -9.51 eV/atom
spin magnetization = 0.09 μB/f.u.

Lattice parameters (Å, degrees): 6.293 6.293 6.293 90.00 90.00 90.00
Sites, in units of the cell vectors:
Nb1 0.000 0.000 0.000
Nb2 0.000 0.500 0.500
Nb3 0.500 0.000 0.500
Nb4 0.500 0.500 0.000
Tc1 0.250 0.250 0.750
Tc2 0.250 0.750 0.250
Tc3 0.750 0.250 0.250
Tc4 0.750 0.750 0.750
Ir1 0.000 0.000 0.500
Ir2 0.000 0.500 0.000
Ir3 0.250 0.250 0.250
Ir4 0.250 0.750 0.750
Ir5 0.500 0.000 0.000
Ir6 0.500 0.500 0.500
Ir7 0.750 0.250 0.750
Ir8 0.750 0.750 0.250